Entry 1:
Dy2PaRh3 after structural relaxation, computed with PBE.

abc: 4.8380 4.8380 6.0690
angles: 90.00 90.00 120.00
Space group P-3m1 (No. 164)
Asymmetric unit:
Dy 0.3333 0.6667 0.1537
Pa 0.0000 0.0000 0.5000
Rh 0.0000 0.0000 0.0000
Rh 0.3333 0.6667 0.6265

## Properties
As for the energy above the lowest structure with this stoichiometry: 11.5 meV per atom. Its magnetic moment is 0.000 μB per cell.

***

Entry 2:
Rb3As5O12 after structural relaxation, computed with PBE.

abc: 13.384 13.384 13.384
angles: 90.00 90.00 90.00
Space group Ia-3d (No. 230)
Asymmetric unit:
Rb 0.000 0.250 0.125
As 0.000 0.000 0.000
As 0.000 0.250 0.375
O 0.040 0.153 0.952

## Properties
The value obtained for the formation energy without anion corrections is -1.23 eV/atom. Its magnetic moment is 0.000 μB per cell.

***

Look up the magnetic moment of the second one.
0.000 μB per cell

***

Which formula does entry 2 have?
Rb3As5O12

***

Look up the magnetic moment of the first one.
0.000 μB per cell